1.
DFT (PBE-GGA) results for a geometry-optimized NaHfH2 structure.

Geometry as POSCAR:
```
NaHfH2
1.0
5.055 0.000 0.000
0.000 5.055 0.000
2.528 2.528 4.525
H Hf Na
4 2 2
direct
0.875 0.949 0.750 H
0.051 0.625 0.250 H
0.699 0.125 0.250 H
0.375 0.301 0.750 H
0.750 0.250 0.500 Hf
0.000 0.000 0.000 Hf
0.250 0.750 0.500 Na
0.500 0.500 0.000 Na
```

Summary:
raw total energy	-35.32	eV per cell
total moment	0.00	μB/f.u.
relative energy among the computed polymorphs	0	meV per atom
volume	14.5	A^3/atom


2.
DFT (PBE-GGA) results for a geometry-optimized Cs2NiRhCl6 structure.

Geometry as POSCAR:
```
Cs2NiRhCl6
1.0
-0.761 -0.750 -6.953
6.973 0.448 -0.812
3.480 -5.086 -3.391
Cl Rh Cs Ni
6 1 2 1
direct
0.248 0.248 0.503 Cl
0.248 0.752 0.000 Cl
0.752 0.752 0.497 Cl
0.752 0.752 0.000 Cl
0.248 0.248 0.000 Cl
0.752 0.248 0.000 Cl
0.000 0.000 0.000 Rh
0.250 0.750 0.500 Cs
0.750 0.250 0.500 Cs
0.500 0.500 0.000 Ni
```

Summary:
raw total energy	-36.37	eV per cell
total moment	1.00	μB/f.u.
formation energy without anion corrections	-1.045	eV per atom
volume	24.6	A^3/atom